Density functional theory data (PBE with a Hubbard U) for a geometry-optimized SrMnO3 structure.

SG: No. 15
uncorrected energy: -34.2 eV/f.u.

a b c (Å): 5.543 5.543 5.004
angles (deg): 95.55 95.55 119.02
Atoms (fractional coordinates):
Sr 0.167 0.833 0.750
Sr 0.833 0.167 0.250
Mn 0.500 0.500 0.000
Mn 0.500 0.500 0.500
O 0.191 0.346 0.695
O 0.346 0.191 0.195
O 0.346 0.654 0.250
O 0.654 0.346 0.750
O 0.654 0.809 0.805
O 0.809 0.654 0.305